(1)
# MnCd2W, relaxed, DFT PBE-GGA
# **Energy relative to the lowest polymorph listed for this composition**: 0.7548 eV/atom
# **Raw total energy**: -4.91 eV per atom
# **Energy of formation**: 1.08 eV/atom
# **Fermi-level density of states**: 0.927 states/eV/atom
data_MnCd2W
_symmetry_space_group_name_H-M 'F m -3 m'
_symmetry_Int_Tables_number 225
_symmetry_space_group_name_Hall '-F 4 2 3'
_cell_length_a 6.435
_cell_length_b 6.435
_cell_length_c 6.435
_cell_angle_alpha 90.00
_cell_angle_beta 90.00
_cell_angle_gamma 90.00
loop_
_atom_site_label
_atom_site_fract_x
_atom_site_fract_y
_atom_site_fract_z
_atom_site_occupancy
Mn1 0.000 0.000 0.000 1
Cd1 0.250 0.250 0.250 1
W1 0.000 0.000 0.500 1

***

(2)
# MnCd2W, relaxed, DFT PBE-GGA
# **Energy relative to the lowest polymorph listed for this composition**: 0.2819 eV/atom
# **Raw total energy**: -5.38 eV per atom
# **Energy of formation**: 0.60 eV/atom
# **Fermi-level density of states**: 0.786 states/eV/atom
data_MnCd2W
_symmetry_space_group_name_H-M 'I m m m'
_symmetry_Int_Tables_number 71
_symmetry_space_group_name_Hall '-I 2 2'
_cell_length_a 3.036
_cell_length_b 4.657
_cell_length_c 9.837
_cell_angle_alpha 90.00
_cell_angle_beta 90.00
_cell_angle_gamma 90.00
loop_
_atom_site_label
_atom_site_fract_x
_atom_site_fract_y
_atom_site_fract_z
_atom_site_occupancy
Mn1 0.000 0.000 0.000 1
Cd1 0.000 0.500 0.261 1
W1 0.000 0.000 0.500 1

***

(3)
# Y2MnCd, relaxed, DFT PBE-GGA
# **Energy relative to the lowest polymorph listed for this composition**: 0.0701 eV/atom
# **Raw total energy**: -5.77 eV per atom
# **Energy of formation**: -0.01 eV/atom
# **Fermi-level density of states**: 1.280 states/eV/atom
data_Y2MnCd
_symmetry_space_group_name_H-M 'P 1 m 1'
_symmetry_Int_Tables_number 6
_cell_length_a 3.590
_cell_length_b 4.794
_cell_length_c 6.099
_cell_angle_alpha 90.00
_cell_angle_beta 106.96
_cell_angle_gamma 90.00
loop_
_symmetry_equiv_pos_as_xyz
'x,y,z'
'x,-y,z'
loop_
_atom_site_label
_atom_site_fract_x
_atom_site_fract_y
_atom_site_fract_z
_atom_site_occupancy
Y1 0.000 0.000 0.000 1
Y2 0.306 0.500 0.615 1
Mn1 0.724 0.000 0.451 1
Cd1 0.586 0.500 0.171 1